Entry 1:
Density functional theory data (GGA-PBE) for an optimized crystal structure of LaPr6YHo2.

Calculated density: 6.6 g/cm3
Density of states at the Fermi level: 29.99 states/eV/cell
V: 35.3 Å³/atom
Raw total energy: -96.265 eV per cell

Structure (extended XYZ):
```
20
Lattice="-5.620 2.516 -7.698 7.414 -1.338 -4.999 -5.004 -7.218 2.146" Properties=species:S:1:pos:R:3 pbc="T T T"
La -1.845 -1.839 -7.871
La -1.366 -4.201 -2.681
Pr 2.082 -4.198 -3.396
Pr -5.177 -5.614 -2.720
Pr -3.362 -4.187 -5.729
Pr 3.327 -3.651 -6.416
Pr 0.151 -1.853 -4.822
Pr 3.075 -0.426 -4.200
Pr -6.537 -2.390 -4.135
Pr 1.967 -0.426 -7.831
Pr 0.077 -0.539 -11.209
Pr -5.292 -1.843 -7.156
Pr -3.287 -5.502 0.658
Pr -6.286 -5.614 -6.351
Y -8.852 -5.157 -3.839
Y 5.642 -0.883 -6.712
Ho -3.087 -0.991 -4.547
Ho 0.933 -1.676 -1.394
Ho -0.123 -5.049 -6.005
Ho -4.143 -4.364 -9.157
```

Entry 2:
Density functional theory data (GGA-PBE) for an optimized crystal structure of La2Pr2YHo2.

Calculated density: 6.7 g/cm3
Density of states at the Fermi level: 11.19 states/eV/cell
V: 34.4 Å³/atom
Raw total energy: -34.867 eV per cell

Structure (extended XYZ):
```
7
Lattice="5.166 0.000 0.000 -2.583 5.743 0.281 0.000 -1.551 8.047" Properties=species:S:1:pos:R:3 pbc="T T T"
Pr 0.000 1.950 7.070
Pr 2.583 2.242 1.258
La 2.583 3.220 4.816
La 0.000 0.972 3.513
Ho 0.000 4.491 2.537
Ho 2.583 -0.299 5.792
Y 0.000 0.000 0.000
```

Q: The lowest raw total energy belongs to which entry?
A: LaPr6YHo2